Material: Sr2GaPb
Method: DFT, PBE
State: optimized geometry

abc: 8.056 8.056 8.056
angles: 90.00 90.00 90.00
Space group Fm-3m (No. 225)
Inequivalent atoms, fractional coordinates:
Sr: 0.250 0.250 0.250 (multiplicity 8)
Ga: 0.000 0.000 0.000 (multiplicity 4)
Pb: 0.000 0.000 0.500 (multiplicity 4)

Output
Calculated density ... 5.75 g cm⁻³
Excess energy over the best structure of this formula in the dataset ... 0.061 eV per atom
Total energy ... -2.96 eV per atom
Fermi-level density of states ... 3.18 states/eV/f.u.
DFT formation energy ... -0.434 eV per atom
Magnetization ... 0.00 μB per formula unit
Volume ... 523 Å³ per cell

***

Material: Sr2Ga2Pb
Method: DFT, PBE
State: optimized geometry

abc: 4.265 15.235 4.662
angles: 90.00 90.00 90.00
Space group Cmmm (No. 65)
Inequivalent atoms, fractional coordinates:
Sr: 0.000 0.128 0.000 (multiplicity 4)
Ga: 0.000 0.293 0.500 (multiplicity 4)
Pb: 0.000 0.500 0.500 (multiplicity 2)

Output
Calculated density ... 5.72 g cm⁻³
Excess energy over the best structure of this formula in the dataset ... 0.000 eV per atom
Total energy ... -3.07 eV per atom
Fermi-level density of states ... 2.17 states/eV/f.u.
DFT formation energy ... -0.446 eV per atom
Magnetization ... 0.00 μB per formula unit
Volume ... 303 Å³ per cell

***

Material: SrGaPb
Method: DFT, PBE
State: optimized geometry

abc: 19.132 4.542 4.230
angles: 90.00 94.64 90.00
Space group Cm (No. 8)
Inequivalent atoms, fractional coordinates:
Sr: 0.000 0.000 0.000 (multiplicity 2)
Sr: 0.202 0.000 0.070 (multiplicity 2)
Ga: 0.256 0.500 0.589 (multiplicity 2)
Ga: 0.336 0.500 0.115 (multiplicity 2)
Pb: 0.099 0.500 0.535 (multiplicity 2)
Pb: 0.371 0.000 0.586 (multiplicity 2)

Output
Calculated density ... 6.61 g cm⁻³
Total energy ... -3.17 eV per atom
Fermi-level density of states ... 1.07 states/eV/f.u.
DFT formation energy ... -0.368 eV per atom
Magnetization ... 0.00 μB per formula unit
Volume ... 366 Å³ per cell

***

Material: Sr2GaPb
Method: DFT, PBE
State: optimized geometry

abc: 6.584 4.615 9.528
angles: 90.00 108.01 90.00
Space group P2_1/m (No. 11)
Inequivalent atoms, fractional coordinates:
Sr: 0.200 0.250 0.425 (multiplicity 2)
Sr: 0.283 0.750 0.064 (multiplicity 2)
Ga: 0.138 0.250 0.788 (multiplicity 2)
Pb: 0.361 0.750 0.714 (multiplicity 2)

Output
Calculated density ... 5.45 g cm⁻³
Excess energy over the best structure of this formula in the dataset ... 0.004 eV per atom
Total energy ... -3.02 eV per atom
Fermi-level density of states ... 2.86 states/eV/f.u.
DFT formation energy ... -0.491 eV per atom
Magnetization ... 0.00 μB per formula unit
Volume ... 275 Å³ per cell

***

Material: Sr6Ga2Pb
Method: DFT, PBE
State: optimized geometry

abc: 10.656 11.128 11.738
angles: 90.00 90.00 90.00
Space group Immm (No. 71)
Inequivalent atoms, fractional coordinates:
Sr: 0.000 0.192 0.248 (multiplicity 8)
Sr: 0.186 0.500 0.165 (multiplicity 8)
Sr: 0.225 0.320 0.500 (multiplicity 8)
Ga: 0.000 0.327 0.000 (multiplicity 4)
Ga: 0.000 0.500 0.391 (multiplicity 4)
Pb: 0.000 0.000 0.000 (multiplicity 2)
Pb: 0.000 0.000 0.500 (multiplicity 2)

Output
Calculated density ... 4.16 g cm⁻³
Total energy ... -2.55 eV per atom
Fermi-level density of states ... 7.00 states/eV/f.u.
DFT formation energy ... -0.346 eV per atom
Magnetization ... 0.00 μB per formula unit
Volume ... 1392 Å³ per cell

***

Material: SrGaPb
Method: DFT, PBE
State: optimized geometry

abc: 4.6961 4.6961 4.8455
angles: 90.00 90.00 120.00
Space group P3m1 (No. 156)
Inequivalent atoms, fractional coordinates:
Sr: 0.0000 0.0000 0.0000 (multiplicity 1)
Ga: 0.3333 0.6667 0.6196 (multiplicity 1)
Pb: 0.6667 0.3333 0.4433 (multiplicity 1)

Output
Calculated density ... 6.54 g cm⁻³
Total energy ... -3.20 eV per atom
Fermi-level density of states ... 1.22 states/eV/f.u.
DFT formation energy ... -0.395 eV per atom
Magnetization ... 0.00 μB per formula unit
Volume ... 93 Å³ per cell

***

Material: Sr2GaPb
Method: DFT, PBE
State: optimized geometry

abc: 15.257 4.896 9.231
angles: 90.00 126.78 90.00
Space group C2/m (No. 12)
Inequivalent atoms, fractional coordinates:
Sr: 0.137 0.000 0.249 (multiplicity 4)
Sr: 0.139 0.000 0.774 (multiplicity 4)
Ga: 0.069 0.500 0.952 (multiplicity 4)
Pb: 0.077 0.500 0.443 (multiplicity 4)

Output
Calculated density ... 5.44 g cm⁻³
Excess energy over the best structure of this formula in the dataset ... 0.012 eV per atom
Total energy ... -3.01 eV per atom
Fermi-level density of states ... 2.62 states/eV/f.u.
DFT formation energy ... -0.483 eV per atom
Magnetization ... 0.00 μB per formula unit
Volume ... 552 Å³ per cell

***

Material: SrGa2Pb2
Method: DFT, PBE
State: optimized geometry

abc: 4.870 4.870 12.382
angles: 90.00 90.00 90.00
Space group I4/mmm (No. 139)
Inequivalent atoms, fractional coordinates:
Sr: 0.000 0.000 0.000 (multiplicity 2)
Ga: 0.000 0.000 0.397 (multiplicity 4)
Pb: 0.000 0.500 0.250 (multiplicity 4)

Output
Calculated density ... 7.25 g cm⁻³
Excess energy over the best structure of this formula in the dataset ... 0.000 eV per atom
Total energy ... -3.25 eV per atom
Fermi-level density of states ... 1.25 states/eV/f.u.
DFT formation energy ... -0.217 eV per atom
Magnetization ... 0.00 μB per formula unit
Volume ... 294 Å³ per cell

***

Material: SrTaGa2Pb
Method: DFT, PBE
State: optimized geometry

abc: 5.457 5.457 5.485
angles: 90.00 90.00 90.00
Space group P4/mmm (No. 123)
Inequivalent atoms, fractional coordinates:
Sr: 0.000 0.000 0.000 (multiplicity 1)
Ta: 0.500 0.500 0.000 (multiplicity 1)
Ga: 0.000 0.500 0.500 (multiplicity 2)
Pb: 0.500 0.500 0.500 (multiplicity 1)

Output
Calculated density ... 6.26 g cm⁻³
Excess energy over the best structure of this formula in the dataset ... 0.000 eV per atom
Total energy ... -3.68 eV per atom
Fermi-level density of states ... 5.48 states/eV/f.u.
DFT formation energy ... 0.976 eV per atom
Magnetization ... 1.41 μB per formula unit
Volume ... 163 Å³ per cell

***

Material: SrTaGa2Pb
Method: DFT, PBE
State: optimized geometry

abc: 5.509 5.509 5.363
angles: 90.00 90.00 90.00
Space group P4/mmm (No. 123)
Inequivalent atoms, fractional coordinates:
Sr: 0.000 0.000 0.000 (multiplicity 1)
Ta: 0.000 0.000 0.500 (multiplicity 1)
Ga: 0.000 0.500 0.000 (multiplicity 2)
Pb: 0.500 0.500 0.500 (multiplicity 1)

Output
Calculated density ... 6.28 g cm⁻³
Excess energy over the best structure of this formula in the dataset ... 0.687 eV per atom
Total energy ... -3.00 eV per atom
Fermi-level density of states ... 6.05 states/eV/f.u.
DFT formation energy ... 1.664 eV per atom
Magnetization ... 0.02 μB per formula unit
Volume ... 163 Å³ per cell

***

Material: SrTbGaPb
Method: DFT, PBE
State: optimized geometry

abc: 7.745 7.745 7.745
angles: 90.00 90.00 90.00
Space group F-43m (No. 216)
Inequivalent atoms, fractional coordinates:
Sr: 0.000 0.000 0.000 (multiplicity 4)
Tb: 0.000 0.000 0.500 (multiplicity 4)
Ga: 0.250 0.250 0.750 (multiplicity 4)
Pb: 0.250 0.250 0.250 (multiplicity 4)

Output
Calculated density ... 7.48 g cm⁻³
Total energy ... -3.64 eV per atom
Fermi-level density of states ... 2.25 states/eV/f.u.
DFT formation energy ... -0.380 eV per atom
Magnetization ... 0.00 μB per formula unit
Volume ... 465 Å³ per cell

***

Material: SrTlGaPb
Method: DFT, PBE
State: optimized geometry

abc: 7.829 7.829 7.829
angles: 90.00 90.00 90.00
Space group F-43m (No. 216)
Inequivalent atoms, fractional coordinates:
Sr: 0.000 0.000 0.000 (multiplicity 4)
Tl: 0.250 0.250 0.250 (multiplicity 4)
Ga: 0.250 0.250 0.750 (multiplicity 4)
Pb: 0.000 0.000 0.500 (multiplicity 4)

Output
Calculated density ... 7.87 g cm⁻³
Total energy ... -2.94 eV per atom
Fermi-level density of states ... 1.05 states/eV/f.u.
DFT formation energy ... -0.240 eV per atom
Magnetization ... 0.00 μB per formula unit
Volume ... 480 Å³ per cell